## CsSrY3 (GGA-PBE)

Data for CsSrY3 after structural relaxation.

Summary:
The formation energy from the elements is 1.0607 eV per atom. The density is 3.50 Mg/m³.

CIF file:
```
data_CsSrY3
_chemical_formula_sum 'Cs1 Sr1 Y3'
_symmetry_space_group_name_H-M 'P m -3 m'
_symmetry_Int_Tables_number 221
_symmetry_space_group_name_Hall '-P 4 2 3'
_cell_length_a 6.1401
_cell_length_b 6.1401
_cell_length_c 6.1401
_cell_angle_alpha 90.00
_cell_angle_beta 90.00
_cell_angle_gamma 90.00
loop_
_atom_site_label
_atom_site_fract_x
_atom_site_fract_y
_atom_site_fract_z
Cs1 0.0000 0.0000 0.0000
Sr1 0.5000 0.5000 0.5000
Y1 0.0000 0.5000 0.5000
```

=====

## NiRu3Rh (GGA-PBE)

Data for NiRu3Rh after structural relaxation.

Summary:
The formation energy from the elements is 2.1024 eV per atom. The density is 7.75 Mg/m³.

CIF file:
```
data_NiRu3Rh
_chemical_formula_sum 'Ni1 Ru3 Rh1'
_symmetry_space_group_name_H-M 'P m -3 m'
_symmetry_Int_Tables_number 221
_symmetry_space_group_name_Hall '-P 4 2 3'
_cell_length_a 4.6354
_cell_length_b 4.6354
_cell_length_c 4.6354
_cell_angle_alpha 90.00
_cell_angle_beta 90.00
_cell_angle_gamma 90.00
loop_
_atom_site_label
_atom_site_fract_x
_atom_site_fract_y
_atom_site_fract_z
Ni1 0.0000 0.0000 0.0000
Ru1 0.0000 0.5000 0.5000
Rh1 0.5000 0.5000 0.5000
```

=====

## ReSeCl2 (GGA-PBE)

Data for ReSeCl2 after structural relaxation.

Summary:
The formation energy (no corrections) comes out at 1.2080 eV/atom. The density is 7.15 Mg/m³.

CIF file:
```
data_ReSeCl2
_chemical_formula_sum 'Re2 Se2 Cl4'
_symmetry_space_group_name_H-M 'I 4/m m m'
_symmetry_Int_Tables_number 139
_symmetry_space_group_name_Hall '-I 4 2'
_cell_length_a 4.2882
_cell_length_b 4.2882
_cell_length_c 8.4845
_cell_angle_alpha 90.00
_cell_angle_beta 90.00
_cell_angle_gamma 90.00
loop_
_atom_site_label
_atom_site_fract_x
_atom_site_fract_y
_atom_site_fract_z
Re1 0.0000 0.0000 0.0000
Se1 0.0000 0.0000 0.5000
Cl1 0.0000 0.5000 0.2500
```

=====

## Nd2PuPb (GGA-PBE)

Data for Nd2PuPb after structural relaxation.

Summary:
The formation energy from the elements is -0.1127 eV per atom. The density is 10.03 Mg/m³.

CIF file:
```
data_Nd2PuPb
_chemical_formula_sum 'Nd2 Pu1 Pb1'
_symmetry_space_group_name_H-M 'P 4/m m m'
_symmetry_Int_Tables_number 123
_symmetry_space_group_name_Hall '-P 4 2'
_cell_length_a 4.1538
_cell_length_b 4.1538
_cell_length_c 7.0994
_cell_angle_alpha 90.00
_cell_angle_beta 90.00
_cell_angle_gamma 90.00
loop_
_atom_site_label
_atom_site_fract_x
_atom_site_fract_y
_atom_site_fract_z
Nd1 0.0000 0.0000 0.2342
Pu1 0.5000 0.5000 0.5000
Pb1 0.5000 0.5000 0.0000
```

=====

## AcCuH8Rh2 (GGA-PBE)

Data for AcCuH8Rh2 after structural relaxation.

Summary:
The calculation puts the total energy at -4.378 eV/atom. The density is 7.31 Mg/m³.

CIF file:
```
data_AcCuH8Rh2
_chemical_formula_sum 'Ac3 Cu3 H24 Rh6'
_symmetry_space_group_name_H-M 'R -3'
_symmetry_Int_Tables_number 148
_symmetry_space_group_name_Hall '-R 3'
_cell_length_a 4.7913
_cell_length_b 4.7913
_cell_length_c 17.2918
_cell_angle_alpha 90.00
_cell_angle_beta 90.00
_cell_angle_gamma 120.00
loop_
_atom_site_label
_atom_site_fract_x
_atom_site_fract_y
_atom_site_fract_z
Ac1 0.0000 0.0000 0.0000
Cu1 0.0000 0.0000 0.5000
H1 0.0000 0.0000 0.3019
H2 0.0069 0.7103 0.1246
Rh1 0.0000 0.0000 0.2024
```

=====

## YW2Se (GGA-PBE)

Data for YW2Se after structural relaxation.

Summary:
The formation energy (no corrections) comes out at 0.6624 eV/atom. The density is 11.34 Mg/m³.

CIF file:
```
data_YW2Se
_chemical_formula_sum 'Y1 W2 Se1'
_symmetry_space_group_name_H-M 'P m m m'
_symmetry_Int_Tables_number 47
_symmetry_space_group_name_Hall '-P 2 2'
_cell_length_a 3.0612
_cell_length_b 4.8073
_cell_length_c 5.3304
_cell_angle_alpha 90.00
_cell_angle_beta 90.00
_cell_angle_gamma 90.00
loop_
_atom_site_label
_atom_site_fract_x
_atom_site_fract_y
_atom_site_fract_z
Y1 0.0000 0.0000 0.0000
W1 0.5000 0.5000 0.2445
Se1 0.0000 0.0000 0.5000
```

=====

| no. | density of states at the Fermi level (states/eV/cell) |
| --- | --- |
| 1 | 3.4 |
| 2 | 8.4 |
| 3 | 4.8 |
| 4 | 10.4 |
| 5 | 2.4 |
| 6 | 3.2 |